A geometry-optimized K4Te structure, computed with PBE-GGA.

Summary:
The density of states at the Fermi level is 1.983 states/eV/cell. The formation energy from raw total energies is -0.51 eV per atom.

a b c (Å): 6.8363 6.8363 6.8363
angles (deg): 90.00 90.00 90.00
Last column: nearest neighbours and their distance in Å.
Atoms (fractional coordinates):
K1 0.0000 0.0000 0.0000  12 K 4.83
K2 0.5000 0.0000 0.5000  2 Te 3.42
K3 0.0000 0.5000 0.5000  2 Te 3.42
K4 0.5000 0.5000 0.0000  2 Te 3.42
Te1 0.5000 0.5000 0.5000  6 K 3.42